No. 1
Entry from Alexandria via LeMat-Bulk: Nb2FeNi after structural relaxation (PBE-GGA).

The density of states at the Fermi level is 3.21 states/eV/cell. The excess energy over the best structure of this formula in the dataset is 315 meV/atom. The symmetry is R-3m (166). The calculation puts the energy at -0.612 Ry per atom.

```
data_Nb2FeNi
_chemical_formula_sum 'Nb2 Fe1 Ni1'
_cell_length_a 7.6939
_cell_length_b 7.6939
_cell_length_c 7.6939
_cell_angle_alpha 23.01
_cell_angle_beta 23.01
_cell_angle_gamma 23.01
_symmetry_space_group_name_H-M 'P 1'
_symmetry_Int_Tables_number 1
_symmetry_space_group_name_Hall 'P 1'
loop_
_atom_site_label
_atom_site_type_symbol
_atom_site_fract_x
_atom_site_fract_y
_atom_site_fract_z
_atom_site_occupancy
Nb1 Nb 0.2459 0.2459 0.2459 1
Nb2 Nb 0.7541 0.7541 0.7541 1
Fe1 Fe 0.5000 0.5000 0.5000 1
Ni1 Ni 0.0000 0.0000 0.0000 1
```

---

No. 2
Entry from Alexandria via LeMat-Bulk: SrPrNi2P2 after structural relaxation (PBE-GGA).

The density of states at the Fermi level is 2.91 states/eV/cell. The symmetry is P-3m1 (164). The calculation puts the energy at -0.427 Ry per atom.

```
data_SrPrNi2P2
_chemical_formula_sum 'Sr1 Pr1 Ni2 P2'
_cell_length_a 3.9724
_cell_length_b 3.9724
_cell_length_c 8.5283
_cell_angle_alpha 90.00
_cell_angle_beta 90.00
_cell_angle_gamma 120.00
_symmetry_space_group_name_H-M 'P 1'
_symmetry_Int_Tables_number 1
_symmetry_space_group_name_Hall 'P 1'
loop_
_atom_site_label
_atom_site_type_symbol
_atom_site_fract_x
_atom_site_fract_y
_atom_site_fract_z
_atom_site_occupancy
Sr1 Sr 0.0000 0.0000 0.0000 1
Pr1 Pr 0.0000 0.0000 0.5000 1
Ni1 Ni 0.3333 0.6667 0.2624 1
Ni2 Ni 0.6667 0.3333 0.7376 1
P1 P 0.3333 0.6667 0.7394 1
P2 P 0.6667 0.3333 0.2606 1
```

---

No. 3
Entry from Alexandria via LeMat-Bulk: Ho4Tl2C after structural relaxation (PBE-GGA).

The density of states at the Fermi level is 7.36 states/eV/cell. The excess energy over the best structure of this formula in the dataset is 152 meV/atom. The symmetry is P2/m (10). The calculation puts the energy at -0.353 Ry per atom.

```
data_Ho4Tl2C
_chemical_formula_sum 'Ho4 Tl2 C1'
_cell_length_a 6.3673
_cell_length_b 3.6288
_cell_length_c 8.1885
_cell_angle_alpha 90.00
_cell_angle_beta 104.36
_cell_angle_gamma 90.00
_symmetry_space_group_name_H-M 'P 1'
_symmetry_Int_Tables_number 1
_symmetry_space_group_name_Hall 'P 1'
loop_
_atom_site_label
_atom_site_type_symbol
_atom_site_fract_x
_atom_site_fract_y
_atom_site_fract_z
_atom_site_occupancy
Ho1 Ho 0.1392 0.0000 0.3132 1
Ho2 Ho 0.2385 0.5000 0.9791 1
Ho3 Ho 0.7615 0.5000 0.0209 1
Ho4 Ho 0.8608 0.0000 0.6868 1
Tl1 Tl 0.3973 0.5000 0.6566 1
Tl2 Tl 0.6027 0.5000 0.3434 1
C1 C 0.0000 0.0000 0.0000 1
```

---

No. 4
Entry from Alexandria via LeMat-Bulk: Pr4SmTm2 after structural relaxation (PBE-GGA).

The density of states at the Fermi level is 22.24 states/eV/cell. The excess energy over the best structure of this formula in the dataset is 190 meV/atom. The symmetry is Imma (74). The calculation puts the energy at -0.325 Ry per atom.

```
data_Pr4SmTm2
_chemical_formula_sum 'Pr8 Sm2 Tm4'
_cell_length_a 9.0695
_cell_length_b 9.0695
_cell_length_c 9.0695
_cell_angle_alpha 135.06
_cell_angle_beta 100.91
_cell_angle_gamma 95.90
_symmetry_space_group_name_H-M 'P 1'
_symmetry_Int_Tables_number 1
_symmetry_space_group_name_Hall 'P 1'
loop_
_atom_site_label
_atom_site_type_symbol
_atom_site_fract_x
_atom_site_fract_y
_atom_site_fract_z
_atom_site_occupancy
Pr1 Pr 0.1524 0.1512 0.0012 1
Pr2 Pr 0.2404 0.2121 0.4717 1
Pr3 Pr 0.2404 0.7687 0.0283 1
Pr4 Pr 0.3500 0.8488 0.5012 1
Pr5 Pr 0.6500 0.1512 0.4988 1
Pr6 Pr 0.7596 0.2313 0.9717 1
Pr7 Pr 0.7596 0.7879 0.5283 1
Pr8 Pr 0.8476 0.8488 0.9988 1
Sm1 Sm 0.5000 0.0000 0.0000 1
Sm2 Sm 0.5000 0.5000 0.5000 1
Tm1 Tm 0.0000 0.5000 0.5000 1
Tm2 Tm 0.0315 0.2815 0.7500 1
Tm3 Tm 0.5000 0.5000 0.0000 1
Tm4 Tm 0.9685 0.7185 0.2500 1
```

---

DFT formation energy / eV/atom: 0.27; -1.01; -0.19; 0.25